# BaNa2Ta GGA-PBE optimized geometry
data_BaNa2Ta
_space_group_name_H-M_alt 'I -4 2 d'
_space_group_IT_number 122
_space_group_name_Hall 'I -4 2bw'
_cell_length_a 9.068
_cell_length_b 9.068
_cell_length_c 6.252
_cell_angle_alpha 90.00
_cell_angle_beta 90.00
_cell_angle_gamma 90.00
loop_
_atom_site_label
_atom_site_type_symbol
_atom_site_fract_x
_atom_site_fract_y
_atom_site_fract_z
Ba1 Ba 0.000 0.000 0.000
Na1 Na 0.224 0.250 0.625
Ta1 Ta 0.000 0.000 0.500
# * formation energy from the elements: 5.2 eV/f.u.
# * volume: 128.5 Å³/f.u.
# * magnetic moment: 0.00 μB per atom
# * ΔE to the lowest computed polymorph: 0.78 eV/f.u.

=====

# Ba2NaTa GGA-PBE optimized geometry
data_Ba2NaTa
_space_group_name_H-M_alt 'F m -3 m'
_space_group_IT_number 225
_space_group_name_Hall '-F 4 2 3'
_cell_length_a 8.587
_cell_length_b 8.587
_cell_length_c 8.587
_cell_angle_alpha 90.00
_cell_angle_beta 90.00
_cell_angle_gamma 90.00
loop_
_atom_site_label
_atom_site_type_symbol
_atom_site_fract_x
_atom_site_fract_y
_atom_site_fract_z
Ba1 Ba 0.250 0.250 0.250
Na1 Na 0.000 0.000 0.000
Ta1 Ta 0.000 0.000 0.500
# * formation energy from the elements: 3.7 eV/f.u.
# * volume: 158.3 Å³/f.u.
# * magnetic moment: 1.07 μB per atom
# * ΔE to the lowest computed polymorph: 0.00 eV/f.u.

=====

# BaNa3Ta GGA-PBE optimized geometry
data_BaNa3Ta
_space_group_name_H-M_alt 'P m -3 m'
_space_group_IT_number 221
_space_group_name_Hall '-P 4 2 3'
_cell_length_a 6.000
_cell_length_b 6.000
_cell_length_c 6.000
_cell_angle_alpha 90.00
_cell_angle_beta 90.00
_cell_angle_gamma 90.00
loop_
_atom_site_label
_atom_site_type_symbol
_atom_site_fract_x
_atom_site_fract_y
_atom_site_fract_z
Ba1 Ba 0.000 0.000 0.000
Na1 Na 0.000 0.500 0.500
Ta1 Ta 0.500 0.500 0.500
# * formation energy from the elements: 5.8 eV/f.u.
# * volume: 216.0 Å³/f.u.
# * magnetic moment: 0.95 μB per atom
# * ΔE to the lowest computed polymorph: 0.00 eV/f.u.

=====

# Ba2NaTa GGA-PBE optimized geometry
data_Ba2NaTa
_space_group_name_H-M_alt 'I -4 2 d'
_space_group_IT_number 122
_space_group_name_Hall 'I -4 2bw'
_cell_length_a 5.178
_cell_length_b 5.178
_cell_length_c 23.547
_cell_angle_alpha 90.00
_cell_angle_beta 90.00
_cell_angle_gamma 90.00
loop_
_atom_site_label
_atom_site_type_symbol
_atom_site_fract_x
_atom_site_fract_y
_atom_site_fract_z
Ba1 Ba 0.233 0.250 0.125
Na1 Na 0.000 0.000 0.500
Ta1 Ta 0.000 0.000 0.000
# * formation energy from the elements: 5.3 eV/f.u.
# * volume: 157.9 Å³/f.u.
# * magnetic moment: 0.64 μB per atom
# * ΔE to the lowest computed polymorph: 1.57 eV/f.u.

=====

ΔE to the lowest computed polymorph of number 3 (BaNa3Ta)? 0.00 eV/f.u.

=====

What is the formula in the first record? BaNa2Ta

=====

What is the formula in the second record? Ba2NaTa

=====

What is the formula in the third record? BaNa3Ta